Compound: Pr2Sm4HoTm
Source: the Alexandria database
Functional: GGA-PBE
Structure: relaxed

Structure (POSCAR):
```
Pr2Sm4HoTm
1.0
9.4300 -0.0050 -1.7052
-0.0157 9.4341 -1.7273
-6.0031 -6.0270 8.3586
Pr Sm Ho Tm
4 8 2 2
Cartesian
4.7150 -0.0025 -0.8526
1.7134 -3.0160 3.3267
-3.0016 -3.0135 4.1793
4.7072 4.7145 -1.7162
-3.7025 1.1336 6.6040
3.9807 -0.6140 2.5013
-0.5696 4.0159 2.4249
7.1137 2.2684 -1.6778
1.0619 0.9955 5.6708
4.1085 4.0542 1.7188
-0.6974 -0.6521 3.2074
2.3492 2.4065 -0.7446
-0.0079 4.7170 -0.8636
6.4206 1.6985 1.6105
1.7055 1.7010 2.4631
3.4268 -6.0320 6.6534
```

Results
Its space group is P-1 (2). The value obtained for the energy of formation from the pure elements is 0.3929 eV/atom.